First-principles (PBE) data for a relaxed La2Sb crystal, as listed in the Alexandria database.

Cell lengths 8.778, 8.778, 5.008 Å; angles 90.00, 90.00, 150.33 degrees
Positions (direct):
La  0.750  0.250  0.750
La  0.430  0.570  0.750
La  0.570  0.430  0.250
La  0.250  0.750  0.250
Sb  0.101  0.899  0.750
Sb  0.899  0.101  0.250

Values from the calculation:
energy relative to the elements, uncorrected: -790 meV/atom
space group: Cmcm (63)

=====

First-principles (PBE) data for a relaxed CrAs2Cl crystal, as listed in the Alexandria database.

Cell lengths 9.078, 9.078, 9.078 Å; angles 20.05, 20.05, 20.05 degrees
Each line ends with the local moment (μB).
Positions (direct):
As  0.015  0.015  0.015  -0.06
As  0.271  0.271  0.271  -0.04
Cl  0.469  0.469  0.469  0.04
Cr  0.745  0.745  0.745  1.45

Values from the calculation:
energy relative to the elements, uncorrected: 30 meV/atom
space group: R3m (160)
energy above the most stable polymorph in this dataset: 262 meV/atom

=====

First-principles (PBE) data for a relaxed CeTm2Zr crystal, as listed in the Alexandria database.

Cell lengths 4.916, 4.745, 4.745 Å; angles 90.00, 90.00, 90.00 degrees
Positions (direct):
Tm  0.000  0.500  0.000
Tm  0.000  0.000  0.500
Zr  0.500  0.000  0.000
Ce  0.500  0.500  0.500

Values from the calculation:
ΔE_f: 88 meV per atom
space group: P4/mmm (123)
energy above the most stable polymorph in this dataset: 0 meV/atom

=====

First-principles (PBE) data for a relaxed Al2Ag crystal, as listed in the Alexandria database.

Cell lengths 3.029, 4.581, 4.581 Å; angles 65.31, 70.70, 70.70 degrees
Positions (direct):
Al  0.812  0.688  0.688
Al  0.188  0.312  0.312
Ag  0.000  0.000  0.000

Values from the calculation:
ΔE_f: 12 meV per atom
space group: Immm (71)